Arrangement A

First-principles (PBE) data for a relaxed structure of NbWCl3, as listed in the Alexandria database.

abc: 4.837 4.837 4.837
angles: 90.00 90.00 90.00
Site moments in Bohr magnetons follow the coordinates.
Fractional positions:
Nb  0.500  0.500  0.500  3.11
W  0.000  0.000  0.000  1.12
Cl  0.000  0.500  0.000  0.01
Cl  0.000  0.000  0.500  0.01
Cl  0.500  0.000  0.000  0.06

Arrangement B

First-principles (PBE) data for a relaxed structure of NbWCl3, as listed in the Alexandria database.

abc: 5.057 5.057 5.057
angles: 90.00 90.00 90.00
Site moments in Bohr magnetons follow the coordinates.
Fractional positions:
Nb  0.000  0.000  0.000  2.01
W  0.500  0.500  0.500  3.73
Cl  0.000  0.500  0.000  0.05
Cl  0.000  0.000  0.500  0.03
Cl  0.500  0.000  0.000  0.06

Energy relative to the most stable one, in meV/atom: arrangement A 120; arrangement B 0